A relaxed ZrNiCl3 crystal, computed with PBE. Values from VASP.

Values from the calculation:
- Distance to the lowest polymorph of the same formula: 153 meV per atom
- Uncorrected formation energy: -0.16 eV per atom
- SG: Pm-3m (221)
- D(E_F): 6.95 states/eV per cell
- Crystal system: cubic

```
&SYSTEM
  ibrav = 0, nat = 5, ntyp = 3
/
ATOMIC_SPECIES
Zr 91.22 Zr.upf
Ni 58.69 Ni.upf
Cl 35.45 Cl.upf
ATOMIC_POSITIONS crystal
Zr 0.000 0.000 0.000
Ni 0.500 0.500 0.500
Cl 0.000 0.500 0.500
Cl 0.500 0.000 0.500
Cl 0.500 0.500 0.000
CELL_PARAMETERS angstrom
4.626 0.000 0.000
0.000 4.626 0.000
0.000 0.000 4.626
```